BePt | PBE | optimized geometry

a b c (Å): 2.7927 5.5726 5.5726
angles (deg): 94.50 90.00 90.00
With the nearest neighbours (Å) after each atom.
Positions (direct):
Be  0.0000  0.0000  0.0000  6 Pt 2.37-2.39, 2 Be 2.58
Be  0.0000  0.4633  0.9960  6 Pt 2.35-2.38, 1 Be 2.58
Be  0.0000  0.9960  0.4633  6 Pt 2.35-2.38, 1 Be 2.58
Pt  0.5000  0.2098  0.7450  6 Be 2.35-2.37
Pt  0.5000  0.2565  0.2565  6 Be 2.38-2.39
Pt  0.5000  0.7450  0.2098  6 Be 2.35-2.37

## Properties
Calculated formation energy (eV per atom): -0.51
Total magnetization (μB per cell): 0.000
E (eV/atom): -5.395